Entry from the Alexandria database: a geometry-optimized Ca5Zn2Sb structure (GGA-PBE).

ΔE_f (raw), meV/atom: -438
Size of the total moment, μB/f.u.: 0.00
D(E_F), states/eV per atom: 1.05

Lattice parameters (Å, degrees): 8.0392 8.0392 14.7197 90.00 90.00 90.00
With the nearest neighbours (Å) after each atom.
Space group I4/mcm (No. 140)
Symmetry-distinct sites (fractional):
Ca 0.0000 0.0000 0.0000 (multiplicity 4)  4 Zn 3.22
Ca 0.1706 0.3294 0.1433 (multiplicity 16)  3 Zn 3.15-3.22, 2 Sb 3.37
Zn 0.1160 0.3840 0.5000 (multiplicity 8)  1 Zn 2.64
Sb 0.0000 0.0000 0.2500 (multiplicity 4)  10 Ca 3.37-3.68